# SiWIO2, optimized geometry, DFT GGA+U
data_SiWIO2
_cell_length_a 3.939
_cell_length_b 3.939
_cell_length_c 8.029
_cell_angle_alpha 90.00
_cell_angle_beta 90.00
_cell_angle_gamma 90.00
_space_group_name_H-M_alt 'P 4/m m m'
_space_group_IT_number 123
_space_group_name_Hall '-P 4 2'
loop_
_atom_site_label
_atom_site_type_symbol
_atom_site_fract_x
_atom_site_fract_y
_atom_site_fract_z
Si1 Si 0.000 0.000 0.000
W1 W 0.500 0.500 0.500
I1 I 0.500 0.500 0.000
O1 O 0.000 0.500 0.500
# excess energy over the best structure of this formula in the dataset: 0.000 eV per atom